(1)
Density functional theory data (PBE-GGA) for crystalline PrPaTc2 at its relaxed geometry.

Values from the calculation:
total energy: -8.81 eV per atom
energy relative to the lowest polymorph listed for this composition: 0 meV per atom
size of the total moment: 0.0 Bohr magnetons per cell

Cell: 3.4326 3.4326 7.3158 Å, 90.00 90.00 90.00°
With the nearest neighbours (Å) after each atom.
Positions (direct):
Pr 0.0000 0.0000 0.0000  8 Tc 3.25, 4 Pr 3.43
Pa 0.0000 0.0000 0.5000  8 Tc 2.85
Tc 0.5000 0.5000 0.2955  4 Pa 2.85, 1 Tc 2.99
Tc 0.5000 0.5000 0.7045  4 Pa 2.85, 1 Tc 2.99

(2)
Density functional theory data (PBE-GGA) for crystalline PrPaTc at its relaxed geometry.

Values from the calculation:
total energy: -8.22 eV per atom
energy relative to the lowest polymorph listed for this composition: 65 meV per atom
size of the total moment: 0.0 Bohr magnetons per cell

Cell: 4.3394 4.3394 5.1000 Å, 90.00 90.00 120.00°
With the nearest neighbours (Å) after each atom.
Positions (direct):
Pr 0.0000 0.0000 0.0000  6 Tc 3.57, 6 Pa 3.57
Pa 0.6667 0.3333 0.5000  3 Tc 2.51
Tc 0.3333 0.6667 0.5000  3 Pa 2.51

Number 1: formation energy from the elements -60.5 meV per atom. Number 2: formation energy from the elements -2.1 meV per atom.